No. 1
Below is crystalline HoErTh4 at its relaxed geometry, with properties calculated at the PBE-GGA level. Values from VASP.

Structure (Quantum ESPRESSO input):
```
&SYSTEM
  ibrav = 0, nat = 6, ntyp = 3
/
ATOMIC_SPECIES
Ho 164.93 Ho.upf
Er 167.26 Er.upf
Th 232.04 Th.upf
CELL_PARAMETERS angstrom
5.892 -1.787 0.000
5.892 1.787 0.000
-4.225 0.000 9.029
ATOMIC_POSITIONS crystal
Ho 0.000 0.000 0.000
Er 0.000 0.000 0.500
Th 0.332 0.332 0.167
Th 0.332 0.332 0.666
Th 0.668 0.668 0.334
Th 0.668 0.668 0.833
```

As for the space group: C2/m (12). The energy relative to the elements comes out at 23.3 kJ/mol of formula units.

No. 2
Below is crystalline Cs2ScPbI6 at its relaxed geometry, with properties calculated at the PBE-GGA level. Values from VASP.

Structure (Quantum ESPRESSO input):
```
&SYSTEM
  ibrav = 0, nat = 20, ntyp = 4
/
ATOMIC_SPECIES
Cs 132.91 Cs.upf
Sc 44.96 Sc.upf
Pb 207.20 Pb.upf
I 126.90 I.upf
CELL_PARAMETERS angstrom
8.789 0.000 0.000
0.000 12.372 0.000
0.000 0.000 8.784
ATOMIC_POSITIONS crystal
Cs 0.250 0.000 0.248
Cs 0.250 0.500 0.248
Cs 0.750 0.000 0.752
Cs 0.750 0.500 0.752
Sc 0.250 0.250 0.752
Sc 0.750 0.750 0.248
Pb 0.250 0.750 0.748
Pb 0.750 0.250 0.252
I 0.012 0.250 0.515
I 0.013 0.250 0.990
I 0.250 0.012 0.754
I 0.250 0.488 0.754
I 0.487 0.250 0.990
I 0.488 0.250 0.515
I 0.512 0.750 0.485
I 0.513 0.750 0.010
I 0.750 0.512 0.246
I 0.750 0.988 0.246
I 0.987 0.750 0.010
I 0.988 0.750 0.485
```

As for the formation energy without anion corrections: -1.1045 eV per atom. As for the space group: Pmmn (59).

No. 3
Below is crystalline K2BeCrCu at its relaxed geometry, with properties calculated at the PBE-GGA level. Values from VASP.

Structure (Quantum ESPRESSO input):
```
&SYSTEM
  ibrav = 0, nat = 5, ntyp = 4
/
ATOMIC_SPECIES
K 39.10 K.upf
Be 9.01 Be.upf
Cr 52.00 Cr.upf
Cu 63.55 Cu.upf
CELL_PARAMETERS angstrom
6.311 0.000 0.000
0.000 6.311 0.000
0.000 0.000 4.224
ATOMIC_POSITIONS crystal
K 0.000 0.500 0.000
K 0.500 0.000 0.000
Be 0.000 0.000 0.000
Cr 0.500 0.500 0.500
Cu 0.000 0.000 0.500
```

As for the space group: P4/mmm (123). The energy relative to the elements comes out at 486.0 kJ/mol of formula units.

No. 4
Below is crystalline La5Y3 at its relaxed geometry, with properties calculated at the PBE-GGA level. Values from VASP.

Structure (Quantum ESPRESSO input):
```
&SYSTEM
  ibrav = 0, nat = 8, ntyp = 2
/
ATOMIC_SPECIES
La 138.91 La.upf
Y 88.91 Y.upf
CELL_PARAMETERS angstrom
5.139 -5.209 0.000
5.139 5.209 0.000
0.000 0.000 5.239
ATOMIC_POSITIONS crystal
La 0.000 0.000 0.000
La 0.000 0.500 0.000
La 0.252 0.252 0.500
La 0.500 0.000 0.000
La 0.748 0.748 0.500
Y 0.252 0.748 0.500
Y 0.500 0.500 0.000
Y 0.748 0.252 0.500
```

As for the space group: Cmmm (65). The energy relative to the elements comes out at 11.7 kJ/mol of formula units.